Entry 1:
## MgInAgPt (GGA-PBE)

Data for crystalline MgInAgPt at its relaxed geometry.

Cell and atoms, written as extended XYZ:
```
4
Lattice="-0.255 1.399 4.448 1.354 -2.864 3.430 3.908 0.904 2.391" Properties=species:S:1:pos:R:3 pbc="T T T"
Mg 0.000 0.000 0.000
Ag 1.252 -0.140 2.567
Pt 3.755 -0.421 7.702
In 2.503 -0.280 5.134
```

Values from the calculation:
- ΔE_f: -439 meV per atom
- DOS(E_F): 2.02 states/eV/cell



Entry 2:
## KCuGe (GGA-PBE)

Data for crystalline KCuGe at its relaxed geometry.

Cell and atoms, written as extended XYZ:
```
6
Lattice="-0.704 4.105 1.531 -2.345 0.957 -3.643 -6.376 -2.390 3.476" Properties=species:S:1:pos:R:3 pbc="T T T"
Ge -3.451 -0.376 -0.579
Ge -4.449 0.516 2.999
K -6.519 -1.526 1.093
K -1.382 1.666 1.327
Cu -3.188 -1.195 1.738
Cu -4.713 1.336 0.682
```

Values from the calculation:
- ΔE_f: -7 meV per atom
- Energy above the lowest structure with this stoichiometry: 0 meV per atom
- DOS(E_F): 3.54 states/eV/cell



Entry 3:
## Cd2Ge2Ru (GGA-PBE)

Data for crystalline Cd2Ge2Ru at its relaxed geometry.

Cell and atoms, written as extended XYZ:
```
10
Lattice="6.569 0.000 0.000 0.000 6.569 0.000 0.000 0.000 4.399" Properties=species:S:1:pos:R:3 pbc="T T T"
Ru 0.000 0.000 0.000
Ru 3.284 3.284 0.000
Ge 2.394 5.679 0.000
Ge 5.679 4.175 0.000
Ge 4.175 0.890 0.000
Ge 0.890 2.394 0.000
Cd 1.197 4.482 2.199
Cd 4.482 5.372 2.199
Cd 5.372 2.087 2.199
Cd 2.087 1.197 2.199
```

Values from the calculation:
- ΔE_f: 168 meV per atom
- DOS(E_F): 5.47 states/eV/cell



Entry 4:
## Sr2SeCl (GGA-PBE)

Data for crystalline Sr2SeCl at its relaxed geometry.

Cell and atoms, written as extended XYZ:
```
4
Lattice="-3.752 2.064 2.159 2.506 -3.779 1.561 5.292 5.239 4.187" Properties=species:S:1:pos:R:3 pbc="T T T"
Cl 0.700 0.452 2.907
Se 3.346 3.072 5.000
Sr 5.250 5.198 4.154
Sr 2.688 2.661 2.126
```

Values from the calculation:
- Formation energy (no corrections): -6.40 eV per formula unit
- Energy above the lowest structure with this stoichiometry: 237 meV per atom
- DOS(E_F): 2.00 states/eV/cell



Entry 5:
## ZrSnPS2 (GGA-PBE)

Data for crystalline ZrSnPS2 at its relaxed geometry.

Cell and atoms, written as extended XYZ:
```
5
Lattice="4.561 0.000 0.000 0.000 5.062 0.000 0.000 0.000 4.561" Properties=species:S:1:pos:R:3 pbc="T T T"
P 0.000 0.000 0.000
S 0.000 0.000 2.280
S 2.280 0.000 0.000
Sn 0.000 2.531 0.000
Zr 2.280 2.531 2.280
```

Values from the calculation:
- Formation energy (no corrections): 1.43 eV per formula unit
- Energy above the lowest structure with this stoichiometry: 641 meV per atom
- DOS(E_F): 2.70 states/eV/cell



Entry 6:
## Tb2PrLu (GGA-PBE)

Data for crystalline Tb2PrLu at its relaxed geometry.

Cell and atoms, written as extended XYZ:
```
4
Lattice="-1.142 3.378 0.208 -1.078 -0.155 -3.402 -9.103 -3.264 3.034" Properties=species:S:1:pos:R:3 pbc="T T T"
Pr -5.662 -0.021 -0.080
Lu -1.110 1.611 -1.597
Tb -6.900 -2.474 2.299
Tb -2.203 -0.790 0.734
```

Values from the calculation:
- ΔE_f: 29 meV per atom
- Energy above the lowest structure with this stoichiometry: 6 meV per atom
- DOS(E_F): 5.65 states/eV/cell